No. 1
Below is a relaxed structure of Li3Tb3AlTe8, with properties calculated at the PBE level.

V (Å³/cell): 1346
Magnetization (μB per atom): 0.000
Formation energy (no corrections) (eV per atom): -1.04

Structure (CIF):
```
data_Li3Tb3AlTe8
_chemical_formula_sum 'Li9 Tb9 Al3 Te24'
_space_group_name_H-M_alt 'R -3 m'
_space_group_IT_number 166
_space_group_name_Hall '-R 3 2"'
_cell_length_a 8.5937
_cell_length_b 8.5937
_cell_length_c 21.0417
_cell_angle_alpha 90.00
_cell_angle_beta 90.00
_cell_angle_gamma 120.00
loop_
_atom_site_label
_atom_site_fract_x
_atom_site_fract_y
_atom_site_fract_z
Li1 0.0000 0.5000 0.0000
Tb1 0.0000 0.5000 0.5000
Al1 0.0000 0.0000 0.5000
Te1 0.0000 0.0000 0.2532
Te2 0.0229 0.5115 0.2478
```



No. 2
Below is a relaxed structure of MgAlFeNi, with properties calculated at the PBE level.

V (Å³/cell): 204
E_form (eV/atom): -0.146
Magnetization (μB per atom): 0.004

Structure (CIF):
```
data_MgAlFeNi
_chemical_formula_sum 'Mg4 Al4 Fe4 Ni4'
_space_group_name_H-M_alt 'F -4 3 m'
_space_group_IT_number 216
_space_group_name_Hall 'F -4 2 3'
_cell_length_a 5.8854
_cell_length_b 5.8854
_cell_length_c 5.8854
_cell_angle_alpha 90.00
_cell_angle_beta 90.00
_cell_angle_gamma 90.00
loop_
_atom_site_label
_atom_site_fract_x
_atom_site_fract_y
_atom_site_fract_z
Mg1 0.0000 0.0000 0.0000
Al1 0.0000 0.0000 0.5000
Fe1 0.2500 0.2500 0.7500
Ni1 0.2500 0.2500 0.2500
```



No. 3
Below is a relaxed structure of BaTlInGa, with properties calculated at the PBE level.

V (Å³/cell): 486
E_form (eV/atom): -0.238
Magnetization (μB per atom): 0.000

Structure (CIF):
```
data_BaTlInGa
_chemical_formula_sum 'Ba4 Tl4 In4 Ga4'
_space_group_name_H-M_alt 'F -4 3 m'
_space_group_IT_number 216
_space_group_name_Hall 'F -4 2 3'
_cell_length_a 7.8614
_cell_length_b 7.8614
_cell_length_c 7.8614
_cell_angle_alpha 90.00
_cell_angle_beta 90.00
_cell_angle_gamma 90.00
loop_
_atom_site_label
_atom_site_fract_x
_atom_site_fract_y
_atom_site_fract_z
Ba1 0.0000 0.0000 0.0000
Tl1 0.2500 0.2500 0.7500
In1 0.0000 0.0000 0.5000
Ga1 0.2500 0.2500 0.2500
```



No. 4
Below is a relaxed structure of Co2Ni5Pt5, with properties calculated at the PBE level.

V (Å³/cell): 314
E_form (eV/atom): -0.092
Magnetization (μB per atom): 0.737

Structure (CIF):
```
data_Co2Ni5Pt5
_chemical_formula_sum 'Co4 Ni10 Pt10'
_space_group_name_H-M_alt 'C 1 2/m 1'
_space_group_IT_number 12
_cell_length_a 11.3540
_cell_length_b 3.6945
_cell_length_c 8.4112
_cell_angle_alpha 90.00
_cell_angle_beta 117.02
_cell_angle_gamma 90.00
loop_
_space_group_symop_operation_xyz
'x,y,z'
'-x,-y,-z'
'-x,y,-z'
'x,-y,z'
'x+1/2,y+1/2,z'
'-x+1/2,-y+1/2,-z'
'-x+1/2,y+1/2,-z'
'x+1/2,-y+1/2,z'
loop_
_atom_site_label
_atom_site_fract_x
_atom_site_fract_y
_atom_site_fract_z
Co1 0.1719 0.0000 0.4985
Ni1 0.0000 0.5000 0.5000
Ni2 0.0874 0.5000 0.2606
Ni3 0.1673 0.5000 0.9988
Pt1 0.0000 0.0000 0.0000
Pt2 0.0760 0.0000 0.7406
Pt3 0.2498 0.0000 0.2566
```



No. 5
Below is a relaxed structure of LaB2Pd, with properties calculated at the PBE level.

V (Å³/cell): 270
E_form (eV/atom): -0.043
Magnetization (μB per atom): 0.000
E above lowest polymorph (eV per atom): 0.000

Structure (CIF):
```
data_LaB2Pd
_chemical_formula_sum 'La4 B8 Pd4'
_space_group_name_H-M_alt 'I 41/a m d'
_space_group_IT_number 141
_cell_length_a 4.3256
_cell_length_b 4.3256
_cell_length_c 14.4355
_cell_angle_alpha 90.00
_cell_angle_beta 90.00
_cell_angle_gamma 90.00
loop_
_space_group_symop_operation_xyz
'x,y,z'
'-x,-y,-z'
'-y+1/4,x+3/4,z+1/4'
'y+1/4,-x+3/4,-z+1/4'
'-x+1/2,-y,z+1/2'
'x+1/2,y,-z+1/2'
'y+1/4,-x+1/4,z+3/4'
'-y+1/4,x+1/4,-z+3/4'
'x,-y,-z'
'-x,y,z'
'-y+1/4,-x+1/4,-z+3/4'
'y+1/4,x+1/4,z+3/4'
'-x+1/2,y,-z+1/2'
'x+1/2,-y,z+1/2'
'y+1/4,x+3/4,-z+1/4'
'-y+1/4,-x+3/4,z+1/4'
'x+1/2,y+1/2,z+1/2'
'-x+1/2,-y+1/2,-z+1/2'
'-y+3/4,x+1/4,z+3/4'
'y+3/4,-x+1/4,-z+3/4'
'-x,-y+1/2,z'
'x,y+1/2,-z'
'y+3/4,-x+3/4,z+1/4'
'-y+3/4,x+3/4,-z+1/4'
'x+1/2,-y+1/2,-z+1/2'
'-x+1/2,y+1/2,z+1/2'
'-y+3/4,-x+3/4,-z+1/4'
'y+3/4,x+3/4,z+1/4'
'-x,y+1/2,-z'
'x,-y+1/2,z'
'y+3/4,x+1/4,-z+3/4'
'-y+3/4,-x+1/4,z+3/4'
loop_
_atom_site_label
_atom_site_fract_x
_atom_site_fract_y
_atom_site_fract_z
La1 0.0000 0.2500 0.3750
B1 0.0000 0.0000 0.0000
Pd1 0.0000 0.2500 0.8750
```



No. 6
Below is a relaxed structure of Tb2Dy5Tm2, with properties calculated at the PBE level.

V (Å³/cell): 279
E_form (eV/atom): 0.019
Magnetization (μB per atom): 0.000
E above lowest polymorph (eV per atom): 0.000

Structure (CIF):
```
data_Tb2Dy5Tm2
_chemical_formula_sum 'Tb2 Dy5 Tm2'
_space_group_name_H-M_alt 'P -1'
_space_group_IT_number 2
_cell_length_a 3.5210
_cell_length_b 7.8961
_cell_length_c 10.5731
_cell_angle_alpha 102.87
_cell_angle_beta 90.17
_cell_angle_gamma 102.85
loop_
_space_group_symop_operation_xyz
'x,y,z'
'-x,-y,-z'
loop_
_atom_site_label
_atom_site_fract_x
_atom_site_fract_y
_atom_site_fract_z
Tb1 0.9996 0.0004 0.1676
Dy1 0.0000 0.0000 0.5000
Dy2 0.3327 0.6659 0.2789
Dy3 0.3330 0.6662 0.9438
Tm1 0.3332 0.6657 0.6102
```



No. 7
Below is a relaxed structure of TlPW2, with properties calculated at the PBE level.

V (Å³/cell): 139
E_form (eV/atom): 0.635
Magnetization (μB per atom): 0.000
E above lowest polymorph (eV per atom): 0.359

Structure (CIF):
```
data_TlPW2
_chemical_formula_sum 'Tl2 P2 W4'
_space_group_name_H-M_alt 'I m m m'
_space_group_IT_number 71
_space_group_name_Hall '-I 2 2'
_cell_length_a 3.2236
_cell_length_b 5.1023
_cell_length_c 8.4526
_cell_angle_alpha 90.00
_cell_angle_beta 90.00
_cell_angle_gamma 90.00
loop_
_atom_site_label
_atom_site_fract_x
_atom_site_fract_y
_atom_site_fract_z
Tl1 0.0000 0.0000 0.0000
P1 0.0000 0.0000 0.5000
W1 0.0000 0.5000 0.2031
```



No. 8
Below is a relaxed structure of SrTc2Pb, with properties calculated at the PBE level.

V (Å³/cell): 331
E_form (eV/atom): 0.810
Magnetization (μB per atom): 0.000

Structure (CIF):
```
data_SrTc2Pb
_chemical_formula_sum 'Sr4 Tc8 Pb4'
_space_group_name_H-M_alt 'F -4 3 m'
_space_group_IT_number 216
_space_group_name_Hall 'F -4 2 3'
_cell_length_a 6.9181
_cell_length_b 6.9181
_cell_length_c 6.9181
_cell_angle_alpha 90.00
_cell_angle_beta 90.00
_cell_angle_gamma 90.00
loop_
_atom_site_label
_atom_site_fract_x
_atom_site_fract_y
_atom_site_fract_z
Sr1 0.0000 0.0000 0.0000
Tc1 0.0000 0.0000 0.5000
Tc2 0.2500 0.2500 0.7500
Pb1 0.2500 0.2500 0.2500
```